Nd5Ho3Tl2 | GGA-PBE | relaxed

Lattice parameters (Å, degrees): 13.2923 15.4186 6.5852 90.00 90.00 90.00
Last column: nearest neighbours and their distance in Å.
Space group Ibam (No. 72)
Symmetry-distinct sites (fractional):
Nd: 0.0000 0.0000 0.2500  8 Nd 3.29-3.44
Nd: 0.1219 0.1650 0.0000  1 Tl 2.98
Nd: 0.2494 0.5000 0.2500  2 Tl 3.22, 5 Nd 3.29-3.48, 1 Ho 3.32
Ho: 0.0000 0.5000 0.2500  4 Tl 3.19, 2 Ho 3.29, 2 Nd 3.32
Ho: 0.1098 0.2765 0.5000  3 Tl 3.34-3.53, 4 Nd 3.53-3.72
Tl: 0.1226 0.3581 0.0000  3 Nd 2.98-3.22, 2 Ho 3.19

The total magnetization comes out at 0.00 μB per atom. The calculation puts the energy of formation at 0.1618 eV per atom.